Compound: In7C6
Source: Alexandria via LeMat-Bulk
Functional: GGA-PBE
Structure: relaxed

CIF file:
```
data_In7C6
_chemical_formula_sum 'In21 C18'
_space_group_name_H-M_alt 'R -3 m'
_space_group_IT_number 166
_space_group_name_Hall '-R 3 2"'
_cell_length_a 6.4924
_cell_length_b 6.4924
_cell_length_c 21.9660
_cell_angle_alpha 90.00
_cell_angle_beta 90.00
_cell_angle_gamma 120.00
loop_
_atom_site_label
_atom_site_type_symbol
_atom_site_fract_x
_atom_site_fract_y
_atom_site_fract_z
_atom_site_occupancy
In1 In 0.0000 0.0000 0.0000 1
In2 In 0.0144 0.5072 0.4276 1
C1 C 0.0000 0.0000 0.1706 1
C2 C 0.0000 0.0000 0.3270 1
C3 C 0.0000 0.0000 0.3855 1
```

## Properties
Final energy: -4.43 eV/atom
N(E_F): 0.502 states/eV per atom
Formation energy from the elements: 16.96 eV per formula unit